This record from the Alexandria database describes a relaxed structure of NaGe2I6. The functional is PBE.

Cell: 7.727 7.727 9.658 Å, 66.42 66.42 60.00°
Sites, in units of the cell vectors:
Ge 0.718 0.718 0.847
I 0.728 0.441 0.743
I 0.552 0.917 0.258
I 0.917 0.272 0.258
I 0.272 0.552 0.258
Na 0.334 0.334 0.999
Ge 0.615 0.615 0.154
I 0.441 0.087 0.743
I 0.087 0.728 0.743

Calculated density: 3.5 g/cm³
Crystal system: trigonal
SG: R3, No. 146
Total magnetic moment: 0.00 μB per formula unit
Formation energy without anion corrections: -0.439 eV/atom